(1)
A geometry-optimized ScMnNi3 structure, computed with PBE-GGA.

Lattice parameters (Å, degrees): 4.733 4.576 7.091 90.00 109.50 90.00
Each line ends with the local moment (μB).
Sites, in units of the cell vectors:
Sc (0.198, 0.250, 0.396)  -0.08
Sc (0.802, 0.750, 0.604)  -0.08
Mn (0.558, 0.250, 0.116)  3.67
Mn (0.442, 0.750, 0.884)  3.67
Ni (0.134, 0.250, 0.750)  0.27
Ni (0.615, 0.250, 0.750)  0.27
Ni (0.385, 0.750, 0.250)  0.27
Ni (0.866, 0.750, 0.250)  0.27
Ni (0.000, 0.000, 0.000)  0.35
Ni (0.000, 0.500, 0.000)  0.35

Output
As for the space group: Cmcm. For the energy of formation from the pure elements, the calculation gives -0.1401 eV/atom. For the total magnetic moment, the calculation gives 4.5 μB per formula unit. For the volume, the calculation gives 144.8 Å³ per cell. The total energy is -6.71 eV per atom.

---

(2)
A geometry-optimized Pa2Co3Ge2 structure, computed with PBE-GGA.

Lattice parameters (Å, degrees): 5.891 7.084 5.909 107.09 90.00 90.00
Sites, in units of the cell vectors:
Pa (0.646, 0.679, 0.884)
Pa (0.854, 0.179, 0.384)
Pa (0.146, 0.821, 0.616)
Pa (0.354, 0.321, 0.116)
Co (0.500, 0.500, 0.500)
Co (0.000, 0.000, 0.000)
Co (0.109, 0.456, 0.676)
Co (0.609, 0.044, 0.824)
Co (0.391, 0.956, 0.176)
Co (0.891, 0.544, 0.324)
Ge (0.376, 0.196, 0.573)
Ge (0.876, 0.304, 0.927)
Ge (0.124, 0.696, 0.073)
Ge (0.624, 0.804, 0.427)

Output
As for the space group: P2_1/c. For the energy of formation from the pure elements, the calculation gives -0.4425 eV/atom. For the total magnetic moment, the calculation gives 0.0 μB per formula unit. For the volume, the calculation gives 235.7 Å³ per cell. The total energy is -7.52 eV per atom.

---

(3)
A geometry-optimized Sr2Tl6Pd structure, computed with PBE-GGA.

Lattice parameters (Å, degrees): 6.169 7.018 7.018 60.02 90.07 90.07
Sites, in units of the cell vectors:
Sr (0.806, 0.667, 0.667)
Sr (0.194, 0.333, 0.333)
Tl (0.300, 0.348, 0.826)
Tl (0.299, 0.826, 0.826)
Tl (0.300, 0.826, 0.348)
Tl (0.700, 0.652, 0.174)
Tl (0.701, 0.174, 0.174)
Tl (0.700, 0.174, 0.652)
Pd (0.000, 0.000, 0.000)

Output
As for the space group: C2/m. For the energy of formation from the pure elements, the calculation gives -0.2719 eV/atom. For the total magnetic moment, the calculation gives 0.0 μB per formula unit. For the volume, the calculation gives 263.2 Å³ per cell. The total energy is -2.80 eV per atom.

---

(4)
A geometry-optimized CrGe2Cl8 structure, computed with PBE-GGA.

Lattice parameters (Å, degrees): 6.982 7.298 7.298 81.40 79.24 79.24
Each line ends with the local moment (μB).
Sites, in units of the cell vectors:
Cr (0.000, 0.000, 0.000)  2.68
Ge (0.606, 0.864, 0.864)  -0.11
Ge (0.394, 0.136, 0.136)  -0.11
Cl (0.173, 0.257, 0.906)  -0.05
Cl (0.827, 0.094, 0.743)  -0.05
Cl (0.245, 0.815, 0.815)  -0.09
Cl (0.755, 0.185, 0.185)  -0.09
Cl (0.173, 0.906, 0.257)  -0.05
Cl (0.827, 0.743, 0.094)  -0.05
Cl (0.730, 0.661, 0.661)  -0.06
Cl (0.270, 0.339, 0.339)  -0.06

Output
As for the space group: C2/m. For the total magnetic moment, the calculation gives 2.0 μB per formula unit. The uncorrected formation energy comes out at -814 meV per atom. For the volume, the calculation gives 356.4 Å³ per cell. The total energy is -3.87 eV per atom.